1.
# SrY2P

A relaxed structure of SrY2P (GGA-PBE, Alexandria).

* DFT formation energy: -712 meV per atom
* symmetry: R-3m (166)
* E: -22.87 eV/cell

POSCAR file:
```
SrY2P
1.0
-0.1122 9.7555 2.7717
-3.8445 8.6747 3.5825
-0.9563 7.9613 6.2104
P Y Sr
1 2 1
direct
0.5000 0.5000 0.5000
0.7819 0.7819 0.7819
0.2181 0.2181 0.2181
0.0000 0.0000 0.0000
```


2.
# Y2TlCr

A relaxed structure of Y2TlCr (GGA-PBE, Alexandria).

* DFT formation energy: 415 meV per atom
* symmetry: I-42d (122)
* E: -46.52 eV/cell

POSCAR file:
```
Y2TlCr
1.0
-2.4019 2.4976 7.3547
-7.6386 0.6352 -2.7104
-5.5961 -1.5887 3.2056
Y Tl Cr
4 2 2
direct
0.3750 0.3949 0.7500
0.8750 0.8551 0.7500
0.1449 0.6250 0.2500
0.6051 0.1250 0.2500
0.7500 0.2500 0.5000
0.0000 0.0000 0.0000
0.2500 0.7500 0.5000
0.5000 0.5000 0.0000
```


3.
# Sm8Dy3Y

A relaxed structure of Sm8Dy3Y (GGA-PBE, Alexandria).

* DFT formation energy: 336 meV per atom
* symmetry: I222 (23)
* E: -53.99 eV/cell

POSCAR file:
```
Sm8Dy3Y
1.0
7.1807 0.4544 -4.9151
-3.1008 8.0410 -1.2857
-1.6720 -0.4544 8.5396
Sm Dy Y
8 3 1
direct
0.0015 0.2500 0.7491
0.5009 0.2524 0.2508
0.4991 0.7500 0.7515
0.8354 0.0856 0.2500
0.1646 0.4146 0.2502
0.8356 0.5854 0.7500
0.9985 0.7476 0.2485
0.1644 0.9144 0.7498
0.0000 0.5000 0.5000
0.5000 0.2500 0.7500
0.5000 0.7500 0.2500
0.0000 0.0000 0.0000
```